1.
# Na3Sm3HfS8

Na3Sm3HfS8 after structural relaxation (GGA-PBE, the Alexandria database).

Properties
Formation energy (no corrections) = -170.6 kJ per mole of atoms
Total energy = -5.84 eV/atom

Unit cell a=8.004 b=8.003 c=8.180 alpha=119.31 beta=90.00 gamma=120.00
Sites, in units of the cell vectors:
Na 0.000 0.000 0.000
Na 0.000 0.500 0.000
Na 0.500 0.500 0.000
Sm 0.500 0.000 0.500
Sm 0.500 0.500 0.500
Sm 0.000 0.500 0.500
Hf 0.000 0.000 0.500
S 0.256 0.512 0.268
S 0.744 0.488 0.732
S 0.774 0.547 0.283
S 0.226 0.453 0.717
S 0.774 0.009 0.283
S 0.226 0.991 0.717
S 0.236 0.009 0.283
S 0.764 0.991 0.717

=====

2.
# Na3Sm2HfS6

Na3Sm2HfS6 after structural relaxation (GGA-PBE, the Alexandria database).

Properties
Formation energy (no corrections) = -161.3 kJ per mole of atoms
Total energy = -5.68 eV/atom

Unit cell a=6.809 b=6.809 c=7.107 alpha=99.26 beta=99.26 gamma=120.02
Sites, in units of the cell vectors:
Na 0.169 0.831 0.500
Na 0.831 0.169 0.500
Na 0.500 0.500 0.500
Sm 0.333 0.667 0.000
Sm 0.667 0.333 0.000
Hf 0.000 0.000 0.000
S 0.923 0.613 0.771
S 0.766 0.766 0.226
S 0.077 0.387 0.229
S 0.613 0.923 0.771
S 0.234 0.234 0.774
S 0.387 0.077 0.229

=====

3.
# Na2HfSnS4

Na2HfSnS4 after structural relaxation (GGA-PBE, the Alexandria database).

Properties
Formation energy (no corrections) = -113.0 kJ per mole of atoms
Total energy = -5.31 eV/atom

Unit cell a=3.863 b=6.935 c=7.019 alpha=71.70 beta=90.00 gamma=90.00
Sites, in units of the cell vectors:
Na 0.000 0.000 0.000
Na 0.500 0.000 0.500
Hf 0.000 0.500 0.500
Sn 0.500 0.500 0.000
S 0.000 0.724 0.725
S 0.000 0.276 0.275
S 0.500 0.716 0.283
S 0.500 0.284 0.717

=====

4.
# Na2SrHf3S8

Na2SrHf3S8 after structural relaxation (GGA-PBE, the Alexandria database).

Properties
Formation energy (no corrections) = -147.4 kJ per mole of atoms
Total energy = -6.33 eV/atom

Unit cell a=7.676 b=7.676 c=8.264 alpha=62.33 beta=62.33 gamma=60.00
Sites, in units of the cell vectors:
Na 0.127 0.127 0.620
Na 0.498 0.498 0.507
Sr 0.872 0.872 0.384
Hf 0.498 0.007 0.997
Hf 0.007 0.498 0.997
Hf 0.498 0.498 0.997
S 0.264 0.264 0.209
S 0.733 0.733 0.800
S 0.245 0.245 0.802
S 0.708 0.245 0.802
S 0.245 0.708 0.802
S 0.748 0.303 0.201
S 0.303 0.748 0.201
S 0.748 0.748 0.201

=====

5.
# Na3Hf3TaS8

Na3Hf3TaS8 after structural relaxation (GGA-PBE, the Alexandria database).

Properties
Formation energy (no corrections) = -134.5 kJ per mole of atoms
Total energy = -6.64 eV/atom

Unit cell a=7.148 b=7.153 c=8.107 alpha=116.26 beta=90.00 gamma=119.98
Sites, in units of the cell vectors:
Na 0.000 0.000 0.000
Na 0.000 0.500 0.000
Na 0.500 0.500 0.000
Hf 0.500 0.000 0.500
Hf 0.500 0.500 0.500
Hf 0.000 0.500 0.500
Ta 0.000 0.000 0.500
S 0.260 0.520 0.279
S 0.740 0.480 0.721
S 0.763 0.527 0.284
S 0.237 0.473 0.716
S 0.763 0.021 0.283
S 0.237 0.979 0.717
S 0.257 0.021 0.283
S 0.743 0.979 0.717

=====

6.
# Na2HfTa2S6

Na2HfTa2S6 after structural relaxation (GGA-PBE, the Alexandria database).

Properties
Formation energy (no corrections) = -119.1 kJ per mole of atoms
Total energy = -6.79 eV/atom

Unit cell a=6.085 b=6.085 c=7.229 alpha=96.79 beta=96.79 gamma=119.24
Sites, in units of the cell vectors:
Na 0.826 0.174 0.000
Na 0.174 0.826 0.000
Hf 0.000 0.000 0.500
Ta 0.362 0.638 0.500
Ta 0.638 0.362 0.500
S 0.740 0.740 0.734
S 0.056 0.403 0.704
S 0.260 0.260 0.266
S 0.403 0.056 0.704
S 0.944 0.597 0.296
S 0.597 0.944 0.296

=====

7.
# Na2TbHf2S6

Na2TbHf2S6 after structural relaxation (GGA-PBE, the Alexandria database).

Properties
Formation energy (no corrections) = -157.6 kJ per mole of atoms
Total energy = -6.36 eV/atom

Unit cell a=6.522 b=6.522 c=7.160 alpha=98.45 beta=98.45 gamma=120.48
Sites, in units of the cell vectors:
Na 0.838 0.162 0.000
Na 0.162 0.838 0.000
Tb 0.000 0.000 0.500
Hf 0.334 0.666 0.500
Hf 0.666 0.334 0.500
S 0.718 0.718 0.719
S 0.069 0.422 0.718
S 0.282 0.282 0.281
S 0.422 0.069 0.718
S 0.931 0.578 0.282
S 0.578 0.931 0.282

=====

8.
# Na2Tb2HfS6

Na2Tb2HfS6 after structural relaxation (GGA-PBE, the Alexandria database).

Properties
Formation energy (no corrections) = -170.2 kJ per mole of atoms
Total energy = -6.00 eV/atom

Unit cell a=6.735 b=6.735 c=7.127 alpha=99.15 beta=99.15 gamma=119.39
Sites, in units of the cell vectors:
Na 0.831 0.169 0.000
Na 0.169 0.831 0.000
Tb 0.334 0.666 0.500
Tb 0.666 0.334 0.500
Hf 0.000 0.000 0.500
S 0.763 0.763 0.717
S 0.071 0.387 0.718
S 0.237 0.237 0.283
S 0.387 0.071 0.718
S 0.929 0.613 0.282
S 0.613 0.929 0.282

=====

9.
# Na2HfThS4

Na2HfThS4 after structural relaxation (GGA-PBE, the Alexandria database).

Properties
Formation energy (no corrections) = -146.5 kJ per mole of atoms
Total energy = -6.08 eV/atom

Unit cell a=3.817 b=6.668 c=7.228 alpha=107.47 beta=90.00 gamma=90.00
Sites, in units of the cell vectors:
Na 0.500 0.000 0.500
Na 0.000 0.500 0.500
Hf 0.500 0.500 0.000
Th 0.000 0.000 0.000
S 0.500 0.268 0.238
S 0.500 0.732 0.762
S 0.000 0.279 0.777
S 0.000 0.721 0.223

=====

10.
# Na3Hf3TiS8

Na3Hf3TiS8 after structural relaxation (GGA-PBE, the Alexandria database).

Properties
Formation energy (no corrections) = -143.3 kJ per mole of atoms
Total energy = -6.47 eV/atom

Unit cell a=7.214 b=7.212 c=8.056 alpha=116.60 beta=90.00 gamma=120.01
Sites, in units of the cell vectors:
Na 0.000 0.000 0.000
Na 0.000 0.500 0.000
Na 0.500 0.500 0.000
Hf 0.500 0.000 0.500
Hf 0.500 0.500 0.500
Hf 0.000 0.500 0.500
Ti 0.000 0.000 0.500
S 0.259 0.519 0.279
S 0.741 0.481 0.721
S 0.764 0.528 0.287
S 0.236 0.472 0.713
S 0.764 0.022 0.286
S 0.236 0.978 0.714
S 0.258 0.022 0.286
S 0.742 0.978 0.714

=====

11.
# Na2Hf2TiS6

Na2Hf2TiS6 after structural relaxation (GGA-PBE, the Alexandria database).

Properties
Formation energy (no corrections) = -143.9 kJ per mole of atoms
Total energy = -6.51 eV/atom

Unit cell a=6.224 b=6.224 c=7.214 alpha=98.40 beta=98.40 gamma=119.95
Sites, in units of the cell vectors:
Na 0.832 0.168 0.000
Na 0.168 0.832 0.000
Hf 0.333 0.667 0.500
Hf 0.667 0.333 0.500
Ti 0.000 0.000 0.500
S 0.744 0.744 0.714
S 0.073 0.401 0.714
S 0.256 0.256 0.286
S 0.401 0.073 0.714
S 0.927 0.599 0.286
S 0.599 0.927 0.286

=====

12.
# Na3HfTi2S6

Na3HfTi2S6 after structural relaxation (GGA-PBE, the Alexandria database).

Properties
Formation energy (no corrections) = -135.2 kJ per mole of atoms
Total energy = -5.94 eV/atom

Unit cell a=6.264 b=6.264 c=7.037 alpha=98.53 beta=98.53 gamma=120.03
Sites, in units of the cell vectors:
Na 0.166 0.834 0.500
Na 0.834 0.166 0.500
Na 0.500 0.500 0.500
Hf 0.000 0.000 0.000
Ti 0.333 0.667 0.000
Ti 0.667 0.333 0.000
S 0.928 0.591 0.785
S 0.734 0.734 0.215
S 0.072 0.409 0.215
S 0.591 0.928 0.785
S 0.266 0.266 0.785
S 0.409 0.072 0.215

=====

13.
# NaHfTiS4

NaHfTiS4 after structural relaxation (GGA-PBE, the Alexandria database).

Properties
Formation energy (no corrections) = -133.1 kJ per mole of atoms
Total energy = -6.48 eV/atom

Unit cell a=7.456 b=7.587 c=7.698 alpha=120.48 beta=90.00 gamma=119.43
Sites, in units of the cell vectors:
Na 0.864 0.728 0.114
Na 0.136 0.272 0.886
Hf 0.500 0.000 0.500
Hf 0.500 0.000 0.000
Ti 0.500 0.500 0.500
Ti 0.000 0.500 0.500
S 0.737 0.474 0.703
S 0.286 0.029 0.265
S 0.743 0.029 0.265
S 0.737 0.474 0.271
S 0.263 0.526 0.729
S 0.714 0.971 0.735
S 0.257 0.971 0.735
S 0.263 0.526 0.297

=====

14.
# Na3HfTi3S8

Na3HfTi3S8 after structural relaxation (GGA-PBE, the Alexandria database).

Properties
Formation energy (no corrections) = -136.1 kJ per mole of atoms
Total energy = -6.12 eV/atom

Unit cell a=7.078 b=7.076 c=7.951 alpha=116.43 beta=90.00 gamma=120.01
Sites, in units of the cell vectors:
Na 0.000 0.000 0.000
Na 0.000 0.500 0.000
Na 0.500 0.500 0.000
Hf 0.000 0.000 0.500
Ti 0.500 0.000 0.500
Ti 0.500 0.500 0.500
Ti 0.000 0.500 0.500
S 0.263 0.526 0.290
S 0.737 0.474 0.710
S 0.758 0.516 0.287
S 0.242 0.484 0.713
S 0.758 0.029 0.287
S 0.242 0.971 0.713
S 0.271 0.029 0.287
S 0.729 0.971 0.713

=====

15.
# Na2Hf3TlS8

Na2Hf3TlS8 after structural relaxation (GGA-PBE, the Alexandria database).

Properties
Formation energy (no corrections) = -123.2 kJ per mole of atoms
Total energy = -6.13 eV/atom

Unit cell a=7.623 b=7.623 c=8.193 alpha=62.27 beta=62.27 gamma=60.00
Sites, in units of the cell vectors:
Na 0.133 0.133 0.602
Na 0.492 0.492 0.525
Hf 0.499 0.008 0.994
Hf 0.008 0.499 0.994
Hf 0.499 0.499 0.994
Tl 0.885 0.885 0.345
S 0.265 0.265 0.206
S 0.736 0.736 0.791
S 0.238 0.238 0.808
S 0.716 0.238 0.808
S 0.238 0.716 0.808
S 0.739 0.308 0.215
S 0.308 0.739 0.215
S 0.739 0.739 0.215

=====

16.
# Na2TmHfS4

Na2TmHfS4 after structural relaxation (GGA-PBE, the Alexandria database).

Properties
Formation energy (no corrections) = -157.4 kJ per mole of atoms
Total energy = -5.83 eV/atom

Unit cell a=3.772 b=6.581 c=7.069 alpha=107.88 beta=90.00 gamma=90.00
Sites, in units of the cell vectors:
Na 0.500 0.000 0.500
Na 0.000 0.500 0.500
Tm 0.000 0.000 0.000
Hf 0.500 0.500 0.000
S 0.500 0.253 0.225
S 0.500 0.747 0.775
S 0.000 0.270 0.779
S 0.000 0.730 0.221

=====

17.
# Na2Tm2HfS6

Na2Tm2HfS6 after structural relaxation (GGA-PBE, the Alexandria database).

Properties
Formation energy (no corrections) = -171.4 kJ per mole of atoms
Total energy = -5.99 eV/atom

Unit cell a=6.639 b=6.639 c=7.129 alpha=99.07 beta=99.07 gamma=119.51
Sites, in units of the cell vectors:
Na 0.831 0.169 0.000
Na 0.169 0.831 0.000
Tm 0.334 0.666 0.500
Tm 0.666 0.334 0.500
Hf 0.000 0.000 0.500
S 0.757 0.757 0.715
S 0.071 0.391 0.717
S 0.243 0.243 0.285
S 0.391 0.071 0.717
S 0.929 0.609 0.283
S 0.609 0.929 0.283

=====

18.
# Na2TmHf2S6

Na2TmHf2S6 after structural relaxation (GGA-PBE, the Alexandria database).

Properties
Formation energy (no corrections) = -158.4 kJ per mole of atoms
Total energy = -6.35 eV/atom

Unit cell a=6.466 b=6.466 c=7.164 alpha=98.44 beta=98.44 gamma=120.34
Sites, in units of the cell vectors:
Na 0.836 0.164 0.000
Na 0.164 0.836 0.000
Tm 0.000 0.000 0.500
Hf 0.334 0.666 0.500
Hf 0.666 0.334 0.500
S 0.724 0.724 0.718
S 0.070 0.417 0.717
S 0.276 0.276 0.282
S 0.417 0.070 0.717
S 0.930 0.583 0.283
S 0.583 0.930 0.283

=====

19.
# Na3Tm3HfS8

Na3Tm3HfS8 after structural relaxation (GGA-PBE, the Alexandria database).

Properties
Formation energy (no corrections) = -174.0 kJ per mole of atoms
Total energy = -5.83 eV/atom

Unit cell a=7.748 b=7.748 c=8.102 alpha=118.58 beta=90.00 gamma=120.00
Sites, in units of the cell vectors:
Na 0.000 0.000 0.000
Na 0.000 0.500 0.000
Na 0.500 0.500 0.000
Tm 0.500 0.000 0.500
Tm 0.500 0.500 0.500
Tm 0.000 0.500 0.500
Hf 0.000 0.000 0.500
S 0.259 0.517 0.276
S 0.741 0.483 0.724
S 0.769 0.539 0.285
S 0.231 0.461 0.715
S 0.769 0.016 0.285
S 0.231 0.984 0.715
S 0.246 0.016 0.285
S 0.754 0.984 0.715

=====

20.
# Na4Hf3US8

Na4Hf3US8 after structural relaxation (GGA-PBE, the Alexandria database).

Properties
Formation energy (no corrections) = -137.3 kJ per mole of atoms
Total energy = -6.39 eV/atom

Unit cell a=7.407 b=8.070 c=7.407 alpha=117.33 beta=120.00 gamma=90.00
Sites, in units of the cell vectors:
Na 0.500 0.000 0.000
Na 0.500 0.000 0.500
Na 0.000 0.000 0.000
Na 0.000 0.000 0.500
Hf 0.500 0.500 0.000
Hf 0.500 0.500 0.500
Hf 0.000 0.500 0.500
U 0.000 0.500 0.000
S 0.249 0.726 0.977
S 0.249 0.726 0.497
S 0.260 0.281 0.521
S 0.729 0.726 0.977
S 0.271 0.274 0.023
S 0.740 0.719 0.479
S 0.751 0.274 0.503
S 0.751 0.274 0.023